(1)
A plane-wave DFT calculation with PBEsol was carried out for CdSeF2 after structural relaxation.

Unit cell a=2.8733 b=2.8733 c=25.0023 alpha=90.00 beta=90.00 gamma=120.00
Last column: nearest neighbours and their distance in Å.
Atoms (fractional coordinates):
Cd1 0.0000 0.0000 0.0000  2 F 2.36
Cd2 0.3333 0.6667 0.6667  2 F 2.36
Cd3 0.6667 0.3333 0.3333  2 F 2.36
Se1 0.0000 0.0000 0.5000  6 F 2.45
Se2 0.3333 0.6667 0.1667  6 F 2.45
Se3 0.6667 0.3333 0.8333  6 F 2.45
F1 0.0000 0.0000 0.0943  1 Cd 2.36, 3 Se 2.45
F2 0.0000 0.0000 0.9057  1 Cd 2.36, 3 Se 2.45
F3 0.3333 0.6667 0.5724  1 Cd 2.36, 3 Se 2.45
F4 0.3333 0.6667 0.7610  1 Cd 2.36, 3 Se 2.45
F5 0.6667 0.3333 0.2390  1 Cd 2.36, 3 Se 2.45
F6 0.6667 0.3333 0.4276  1 Cd 2.36, 3 Se 2.45

DFT total energy   -2.906 eV/atom
Uncorrected formation energy   -0.680 eV per atom
Density of states at the Fermi level   5.28 states/eV/cell

=====

(2)
A plane-wave DFT calculation with PBEsol was carried out for MgAgAu2 after structural relaxation.

Unit cell a=3.0272 b=3.9434 c=5.7140 alpha=90.00 beta=90.00 gamma=90.00
Last column: nearest neighbours and their distance in Å.
Atoms (fractional coordinates):
Mg1 0.0000 0.0000 0.0000  6 Au 2.82-2.86, 4 Ag 2.90, 2 Mg 3.03
Ag1 0.5000 0.5000 0.2620  6 Au 2.82-2.89, 4 Mg 2.90, 2 Ag 3.03
Au1 0.0000 0.0000 0.5002  4 Ag 2.83, 2 Mg 2.86, 6 Au 2.92-3.03
Au2 0.5000 0.5000 0.7679  4 Mg 2.82, 2 Ag 2.82-2.89, 6 Au 2.92-3.03

DFT total energy   -3.507 eV/atom
Density of states at the Fermi level   1.16 states/eV/cell
Formation energy from the elements   -0.288 eV per atom

=====

(3)
A plane-wave DFT calculation with PBEsol was carried out for MgAsPb2 after structural relaxation.

Unit cell a=6.3435 b=11.0008 c=3.3958 alpha=90.00 beta=121.07 gamma=90.00
Last column: nearest neighbours and their distance in Å.
Atoms (fractional coordinates):
Mg1 0.0000 0.0000 0.0000  4 As 3.17-3.24, 4 Pb 3.19, 2 Mg 3.40
Mg2 0.5000 0.5000 0.0000  4 As 3.17-3.24, 4 Pb 3.19, 2 Mg 3.40
As1 0.0000 0.5000 0.0000  4 Mg 3.17-3.24, 4 Pb 3.19, 2 As 3.40
As2 0.5000 0.0000 0.0000  4 Mg 3.17-3.24, 4 Pb 3.19, 2 As 3.40
Pb1 0.2500 0.2500 0.5000  6 Pb 3.17-3.40, 2 As 3.19, 2 Mg 3.19
Pb2 0.2500 0.7500 0.5000  6 Pb 3.17-3.40, 2 As 3.19, 2 Mg 3.19
Pb3 0.7500 0.2500 0.5000  6 Pb 3.17-3.40, 2 As 3.19, 2 Mg 3.19
Pb4 0.7500 0.7500 0.5000  6 Pb 3.17-3.40, 2 As 3.19, 2 Mg 3.19

DFT total energy   -3.632 eV/atom
Density of states at the Fermi level   3.67 states/eV/cell
Energy relative to the lowest polymorph listed for this composition   171 meV/atom
Formation energy from the elements   0.073 eV per atom

=====

(4)
A plane-wave DFT calculation with PBEsol was carried out for AlTlTe2 after structural relaxation.

Unit cell a=3.6188 b=3.6188 c=7.9591 alpha=90.00 beta=90.00 gamma=90.00
Last column: nearest neighbours and their distance in Å.
Atoms (fractional coordinates):
Al1 0.0000 0.0000 0.0000  8 Te 3.06
Tl1 0.0000 0.0000 0.5000  8 Te 3.44, 4 Tl 3.62
Te1 0.5000 0.5000 0.2109  4 Al 3.06, 1 Te 3.36
Te2 0.5000 0.5000 0.7891  4 Al 3.06, 1 Te 3.36

DFT total energy   -3.464 eV/atom
Uncorrected formation energy   -0.020 eV per atom
Density of states at the Fermi level   2.44 states/eV/cell

=====

(5)
A plane-wave DFT calculation with PBEsol was carried out for Na5Zr2F13 after structural relaxation.

Unit cell a=6.4148 b=6.4148 c=8.4305 alpha=96.61 beta=96.61 gamma=50.65
Last column: nearest neighbours and their distance in Å.
Atoms (fractional coordinates):
Na1 0.0000 0.0000 0.0000  4 F 2.29
Na2 0.1639 0.1639 0.4281  6 F 2.30-2.36
Na3 0.2781 0.2781 0.8452  8 F 2.38-2.49
Na4 0.7219 0.7219 0.1548  8 F 2.38-2.49
Na5 0.8361 0.8361 0.5719  6 F 2.30-2.36
Zr1 0.4266 0.4266 0.2567  7 F 2.05-2.12
Zr2 0.5734 0.5734 0.7433  7 F 2.05-2.12
F1 0.0803 0.5564 0.3570  1 Zr 2.07, 1 Na 2.30
F2 0.1402 0.5920 0.0703  1 Zr 2.05, 1 Na 2.29
F3 0.1999 0.6770 0.7504  1 Zr 2.05
F4 0.3230 0.8001 0.2496  1 Zr 2.05
F5 0.4080 0.8598 0.9297  1 Zr 2.05, 1 Na 2.29
F6 0.4436 0.9197 0.6430  1 Zr 2.07, 1 Na 2.30
F7 0.5000 0.5000 0.5000  2 Zr 2.12
F8 0.5564 0.0803 0.3570  1 Zr 2.07, 1 Na 2.30
F9 0.5920 0.1402 0.0703  1 Zr 2.05, 1 Na 2.29
F10 0.6770 0.1999 0.7504  1 Zr 2.05
F11 0.8001 0.3230 0.2496  1 Zr 2.05
F12 0.8598 0.4080 0.9297  1 Zr 2.05, 1 Na 2.29
F13 0.9197 0.4436 0.6430  1 Zr 2.07, 1 Na 2.30

DFT total energy   -5.851 eV/atom
Uncorrected formation energy   -3.339 eV per atom
Density of states at the Fermi level   0.00 states/eV/cell

=====

(6)
A plane-wave DFT calculation with PBEsol was carried out for BeTc2B2 after structural relaxation.

Unit cell a=5.5448 b=5.5448 c=3.0131 alpha=90.00 beta=90.00 gamma=90.00
Last column: nearest neighbours and their distance in Å.
Atoms (fractional coordinates):
Be1 0.0000 0.0000 0.0000  4 B 2.22
Be2 0.5000 0.5000 0.0000  4 B 2.22
Tc1 0.1764 0.3236 0.5000  6 B 2.21-2.24
Tc2 0.3236 0.8236 0.5000  6 B 2.21-2.24
Tc3 0.6764 0.1764 0.5000  6 B 2.21-2.24
Tc4 0.8236 0.6764 0.5000  6 B 2.21-2.24
B1 0.1177 0.6177 0.0000  1 B 1.85
B2 0.3823 0.1177 0.0000  1 B 1.85
B3 0.6177 0.8823 0.0000  1 B 1.85
B4 0.8823 0.3823 0.0000  1 B 1.85

DFT total energy   -8.664 eV/atom
Density of states at the Fermi level   1.63 states/eV/cell
Formation energy from the elements   -0.551 eV per atom

=====

(7)
A plane-wave DFT calculation with PBEsol was carried out for Sr2LaZnO after structural relaxation.

Unit cell a=6.4466 b=6.4466 c=5.1310 alpha=90.00 beta=90.00 gamma=90.00
Last column: nearest neighbours and their distance in Å.
Atoms (fractional coordinates):
Sr1 0.0000 0.5000 0.0000  2 La 3.22
Sr2 0.5000 0.0000 0.0000  2 La 3.22
La1 0.0000 0.0000 0.0000  2 Zn 2.57
Zn1 0.0000 0.0000 0.5000  2 La 2.57
O1 0.5000 0.5000 0.5000  8 Sr 4.12, 4 Zn 4.56

DFT total energy   -2.104 eV/atom
Uncorrected formation energy   1.068 eV per atom
Density of states at the Fermi level   6.40 states/eV/cell

=====

(8)
A plane-wave DFT calculation with PBEsol was carried out for TcSeO2F after structural relaxation.

Unit cell a=3.9084 b=3.9084 c=4.4003 alpha=90.00 beta=90.00 gamma=90.00
Last column: nearest neighbours and their distance in Å.
Atoms (fractional coordinates):
Tc1 0.0000 0.0000 0.0000  4 F 2.76, 8 O 2.94
Se1 0.5000 0.5000 0.5000  4 O 1.95
O1 0.0000 0.5000 0.5000  2 Se 1.95
O2 0.5000 0.0000 0.5000  2 Se 1.95
F1 0.5000 0.5000 0.0000  2 Se 2.20

DFT total energy   -5.274 eV/atom
Uncorrected formation energy   0.234 eV per atom
Density of states at the Fermi level   2.09 states/eV/cell